NdSmCdGe | PBE | optimized geometry

Output
The value obtained for the energy relative to the elements is -0.486 eV/atom. The calculation puts the density of states at the Fermi level at 3.3 states/eV/f.u. The value obtained for the volume is 103.9 Å³/f.u. The value obtained for the total DFT energy (no corrections) is -0.3117 Ry/atom.

Cell lengths 7.4626, 7.4626, 7.4626 Å; angles 90.00, 90.00, 90.00 degrees
Space group F-43m (No. 216)
Unique sites:
Nd 0.0000 0.0000 0.0000 (multiplicity 4)
Sm 0.0000 0.0000 0.5000 (multiplicity 4)
Cd 0.2500 0.2500 0.7500 (multiplicity 4)
Ge 0.2500 0.2500 0.2500 (multiplicity 4)